1.
Entry from Alexandria via LeMat-Bulk: a geometry-optimized Ac2GaI2 structure (PBE).

Output
Calculated volume ... 231 Å³/f.u.
Symmetry ... C2/m, No. 12
E ... -19.40 eV/cell
Size of the total moment ... 0.00 μB/f.u.

Unit cell a=4.548 b=4.547 c=13.159 alpha=81.01 beta=80.05 gamma=59.99
Atoms (fractional coordinates):
Ac 0.278 0.793 0.651
I 0.551 0.081 0.818
I 0.449 0.919 0.182
Ac 0.722 0.207 0.349
Ga 0.000 0.500 0.500

=====

2.
Entry from Alexandria via LeMat-Bulk: a geometry-optimized AcGaI structure (PBE).

Output
Calculated volume ... 113 Å³/f.u.
Symmetry ... C2/m, No. 12
E ... -23.84 eV/cell
Size of the total moment ... 0.00 μB/f.u.

Unit cell a=4.493 b=4.493 c=12.938 alpha=88.79 beta=88.79 gamma=59.99
Atoms (fractional coordinates):
Ac 0.993 0.993 0.673
Ga 0.666 0.666 0.526
I 0.319 0.319 0.843
I 0.681 0.681 0.157
Ga 0.334 0.334 0.474
Ac 0.007 0.007 0.327

=====

- What is the formula in the second record?
  AcGaI

=====

- Among the records above, which one has the lowest calculated volume?
  AcGaI